Entry 1:
Crystalline Li4Ce3Ga4 at its relaxed geometry, computed with GGA-PBE.

- SG = Amm2
- E (eV per atom) = -3.695
- magnetization (μB/cell) = 2.24
- DFT formation energy (eV per formula unit) = -3.08

Cell: 8.6193 5.9129 5.9129 Å, 47.47 90.00 90.00°
Last column: nearest neighbours and their distance in Å.
Positions (direct):
1 Li 0.0000 0.0000 0.0000  3 Ga 2.49-2.65
2 Li 0.1769 0.4596 0.4596  3 Ga 2.78-2.86, 3 Li 2.86-3.05
3 Li 0.5000 0.9284 0.9284  4 Ga 2.64-2.76, 2 Ce 2.87
4 Li 0.8231 0.4596 0.4596  3 Ga 2.78-2.86, 3 Li 2.86-3.05
5 Ce 0.2417 0.7611 0.7611  1 Ce 2.80, 1 Li 2.87, 2 Ga 3.04
6 Ce 0.5000 0.6036 0.6036  2 Ce 2.80, 2 Li 3.04, 4 Ga 3.12
7 Ce 0.7583 0.7611 0.7611  1 Ce 2.80, 1 Li 2.87, 2 Ga 3.04
8 Ga 0.0000 0.2450 0.2450  3 Li 2.65-2.78, 2 Ga 2.87
9 Ga 0.2676 0.0871 0.0871  2 Li 2.49-2.64
10 Ga 0.5000 0.2993 0.2993  2 Li 2.76, 2 Ga 3.05
11 Ga 0.7324 0.0871 0.0871  2 Li 2.49-2.64

Entry 2:
Crystalline YCr2Au4 at its relaxed geometry, computed with GGA-PBE.

- SG = I4/mmm
- E (eV per atom) = -4.920
- magnetization (μB/cell) = 18.09
- DFT formation energy (eV per formula unit) = 4.38

Cell: 5.3416 5.3416 13.5837 Å, 90.00 90.00 90.00°
Last column: nearest neighbours and their distance in Å.
Positions (direct):
1 Y 0.0000 0.0000 0.0000  6 Au 2.67-2.78
2 Y 0.5000 0.5000 0.5000  6 Au 2.67-2.78
3 Cr 0.0000 0.0000 0.3989  1 Au 2.64, 1 Cr 2.75
4 Cr 0.0000 0.0000 0.6011  1 Au 2.64, 1 Cr 2.75
5 Cr 0.5000 0.5000 0.1011  1 Au 2.64, 1 Cr 2.75
6 Cr 0.5000 0.5000 0.8989  1 Au 2.64, 1 Cr 2.75
7 Au 0.0000 0.0000 0.2046  1 Cr 2.64, 1 Y 2.78
8 Au 0.0000 0.0000 0.7954  1 Cr 2.64, 1 Y 2.78
9 Au 0.0000 0.5000 0.0000  2 Y 2.67
10 Au 0.0000 0.5000 0.5000  2 Y 2.67
11 Au 0.5000 0.0000 0.0000  2 Y 2.67
12 Au 0.5000 0.0000 0.5000  2 Y 2.67
13 Au 0.5000 0.5000 0.2954  1 Cr 2.64, 1 Y 2.78
14 Au 0.5000 0.5000 0.7046  1 Cr 2.64, 1 Y 2.78

Entry 3:
Crystalline ZrSiRuRh at its relaxed geometry, computed with GGA-PBE.

- SG = F-43m
- E (eV per atom) = -8.328
- magnetization (μB/cell) = 0.01
- E_form (uncorrected) (meV per atom) = -678

Cell: 6.2614 6.2614 6.2614 Å, 90.00 90.00 90.00°
Last column: nearest neighbours and their distance in Å.
Positions (direct):
1 Zr 0.0000 0.0000 0.0000  4 Rh 2.71, 4 Ru 2.71
2 Zr 0.0000 0.5000 0.5000  4 Rh 2.71, 4 Ru 2.71
3 Zr 0.5000 0.0000 0.5000  4 Rh 2.71, 4 Ru 2.71
4 Zr 0.5000 0.5000 0.0000  4 Rh 2.71, 4 Ru 2.71
5 Si 0.0000 0.0000 0.5000  4 Ru 2.71, 4 Rh 2.71
6 Si 0.0000 0.5000 0.0000  4 Ru 2.71, 4 Rh 2.71
7 Si 0.5000 0.0000 0.0000  4 Ru 2.71, 4 Rh 2.71
8 Si 0.5000 0.5000 0.5000  4 Ru 2.71, 4 Rh 2.71
9 Ru 0.2500 0.2500 0.2500  4 Zr 2.71, 4 Si 2.71
10 Ru 0.2500 0.7500 0.7500  4 Zr 2.71, 4 Si 2.71
11 Ru 0.7500 0.2500 0.7500  4 Zr 2.71, 4 Si 2.71
12 Ru 0.7500 0.7500 0.2500  4 Zr 2.71, 4 Si 2.71
13 Rh 0.2500 0.2500 0.7500  4 Si 2.71, 4 Zr 2.71
14 Rh 0.2500 0.7500 0.2500  4 Si 2.71, 4 Zr 2.71
15 Rh 0.7500 0.2500 0.2500  4 Si 2.71, 4 Zr 2.71
16 Rh 0.7500 0.7500 0.7500  4 Si 2.71, 4 Zr 2.71